## YTmZnRh (PBE)

Data for a geometry-optimized YTmZnRh structure. Values from VASP.

Quantum ESPRESSO input file:
```
&SYSTEM
  ibrav = 0, nat = 4, ntyp = 4
/
ATOMIC_SPECIES
Rh 102.91 Rh.upf
Tm 168.93 Tm.upf
Y 88.91 Y.upf
Zn 65.41 Zn.upf
ATOMIC_POSITIONS angstrom
Rh 0.3572 -1.9513 1.6627
Tm 0.7809 0.9058 2.0674
Y 2.0018 2.3221 5.3000
Zn 1.4667 -0.6642 4.6002
CELL_PARAMETERS angstrom
-2.2292 -2.0263 1.7298
2.4100 -2.4952 0.1829
2.2956 2.6629 6.0777
```

Calculated values
Energy of formation from the pure elements (eV per atom): -0.6356
Calculated volume (Å³ per atom): 21.18
Spin magnetization (μB per cell): 0.0
Space group: P4mm, No. 99

=====

## Tm4ZnRh (PBE)

Data for a geometry-optimized Tm4ZnRh structure. Values from VASP.

Quantum ESPRESSO input file:
```
&SYSTEM
  ibrav = 0, nat = 6, ntyp = 3
/
ATOMIC_SPECIES
Tm 168.93 Tm.upf
Zn 65.41 Zn.upf
Rh 102.91 Rh.upf
ATOMIC_POSITIONS angstrom
Tm 5.1313 -1.0069 1.9488
Tm 1.7721 -0.9668 5.2703
Tm 1.8553 -1.3231 1.8907
Tm 5.0483 -0.6512 5.3287
Zn 6.6781 1.0238 3.4827
Rh 3.6126 -2.6694 3.7911
CELL_PARAMETERS angstrom
-0.4047 3.7208 3.0170
0.2388 -3.0089 3.7427
6.7751 0.6555 0.1095
```

Calculated values
Energy of formation from the pure elements (eV per atom): -0.3031
Calculated volume (Å³ per atom): 26.23
Spin magnetization (μB per cell): 0.0
Space group: C2/m, No. 12